# 1
The following is a DFT calculation (PBE) of an optimized crystal structure of LiThSe2.

Output
**Formation energy without anion corrections**: -1483 meV/atom
**Crystal system**: tetragonal

Unit cell a=4.1536 b=4.1536 c=5.7904 alpha=90.00 beta=90.00 gamma=90.00
Last column: nearest neighbours and their distance in Å.
Sites, in units of the cell vectors:
Se 0.0000 0.0000 0.5000  2 Th 2.90, 4 Li 2.94
Se 0.5000 0.5000 0.0000  2 Li 2.90, 4 Th 2.94
Li 0.5000 0.5000 0.5000  6 Se 2.90-2.94
Th 0.0000 0.0000 0.0000  6 Se 2.90-2.94

---

# 2
The following is a DFT calculation (PBE) of an optimized crystal structure of LiTh2Se4.

Output
**Formation energy without anion corrections**: -1553 meV/atom
**Crystal system**: tetragonal

Unit cell a=8.4736 b=8.4736 c=8.4736 alpha=119.88 beta=90.20 gamma=119.88
Last column: nearest neighbours and their distance in Å.
Sites, in units of the cell vectors:
Li 0.7500 0.5000 0.2500  4 Se 2.68
Li 0.0000 0.0000 0.0000  4 Se 2.68
Se 0.6135 0.7414 0.8716  1 Li 2.68, 3 Th 2.95
Se 0.1279 0.2581 0.3865  1 Li 2.68, 3 Th 2.95
Se 0.1284 0.7419 0.8698  1 Li 2.68, 3 Th 2.95
Se 0.6198 0.2419 0.3784  1 Li 2.68, 3 Th 2.95
Se 0.6216 0.2414 0.8635  1 Li 2.68, 3 Th 2.95
Se 0.1365 0.7581 0.3779  1 Li 2.68, 3 Th 2.95
Se 0.6221 0.7586 0.3802  1 Li 2.68, 3 Th 2.95
Se 0.1302 0.2586 0.8721  1 Li 2.68, 3 Th 2.95
Th 0.3747 0.2497 0.6250  6 Se 2.95
Th 0.8750 0.2503 0.6253  6 Se 2.95
Th 0.3750 0.7497 0.6247  6 Se 2.95
Th 0.3753 0.7503 0.1250  6 Se 2.95

---

# 3
The following is a DFT calculation (PBE) of an optimized crystal structure of LiThSe3.

Output
**Formation energy without anion corrections**: -1293 meV/atom
**Crystal system**: monoclinic

Unit cell a=7.0326 b=8.0426 c=9.5238 alpha=112.08 beta=90.00 gamma=90.00
Last column: nearest neighbours and their distance in Å.
Sites, in units of the cell vectors:
Se 0.1909 0.6156 0.1610  1 Li 2.66, 1 Se 2.89
Se 0.9511 0.1224 0.9537  2 Li 2.51-2.70, 1 Se 2.54
Se 0.4511 0.3776 0.5463  2 Li 2.51-2.70, 1 Se 2.54
Se 0.6909 0.8844 0.3390  1 Li 2.66, 1 Se 2.89
Se 0.4596 0.2224 0.1475  2 Li 2.53-2.63
Se 0.9596 0.2776 0.3525  2 Li 2.53-2.63
Se 0.3091 0.1156 0.6610  1 Li 2.66, 1 Se 2.89
Se 0.0404 0.7224 0.6475  2 Li 2.53-2.63
Se 0.5489 0.6224 0.4537  2 Li 2.51-2.70, 1 Se 2.54
Se 0.5404 0.7776 0.8525  2 Li 2.53-2.63
Se 0.8091 0.3844 0.8390  1 Li 2.66, 1 Se 2.89
Se 0.0489 0.8776 0.0463  2 Li 2.51-2.70, 1 Se 2.54
Th 0.7919 0.4627 0.1781  6 Se 2.87-3.09
Th 0.7081 0.9627 0.6781  6 Se 2.87-3.09
Th 0.2919 0.0373 0.3219  6 Se 2.87-3.09
Th 0.2081 0.5373 0.8219  6 Se 2.87-3.09
Li 0.7118 0.9843 0.1034  5 Se 2.51-2.70
Li 0.7882 0.4843 0.6034  5 Se 2.51-2.70
Li 0.2118 0.5157 0.3966  5 Se 2.51-2.70
Li 0.2882 0.0157 0.8966  5 Se 2.51-2.70

---

# 4
The following is a DFT calculation (PBE) of an optimized crystal structure of LiTh4Se4.

Output
**Formation energy without anion corrections**: -919 meV/atom
**Crystal system**: tetragonal

Unit cell a=6.7449 b=6.7449 c=7.5677 alpha=116.46 beta=116.46 gamma=90.00
Last column: nearest neighbours and their distance in Å.
Sites, in units of the cell vectors:
Th 0.0000 0.5000 0.0000  4 Se 2.98
Th 0.6526 0.6526 0.3051  4 Se 2.95-3.00
Th 0.5000 0.0000 0.0000  4 Se 2.98
Th 0.3474 0.3474 0.6949  4 Se 2.95-3.00
Se 0.0465 0.0465 0.7105  1 Li 2.49
Se 0.3361 0.9535 0.2895  1 Li 2.49
Se 0.9535 0.3361 0.2895  1 Li 2.49
Se 0.6639 0.6639 0.7105  1 Li 2.49
Li 0.0000 0.0000 0.0000  4 Se 2.49

---

# 5
The following is a DFT calculation (PBE) of an optimized crystal structure of Li2Th3Se4.

Output
**Formation energy without anion corrections**: -1297 meV/atom
**Crystal system**: monoclinic

Unit cell a=3.9958 b=7.1620 c=9.0481 alpha=85.18 beta=77.24 gamma=73.80
Last column: nearest neighbours and their distance in Å.
Sites, in units of the cell vectors:
Th 0.7864 0.5948 0.8324  5 Se 2.96-2.99
Th 0.0000 0.0000 0.0000  6 Se 3.06-3.21
Th 0.2136 0.4052 0.1676  5 Se 2.96-2.99
Se 0.2512 0.8355 0.6621  3 Li 2.53-2.62
Se 0.5621 0.7217 0.1541  1 Li 2.50
Se 0.7488 0.1645 0.3379  3 Li 2.53-2.62
Se 0.4379 0.2783 0.8459  1 Li 2.50
Li 0.6588 0.0575 0.6250  4 Se 2.50-2.62
Li 0.3412 0.9425 0.3750  4 Se 2.50-2.62

---

# 6
The following is a DFT calculation (PBE) of an optimized crystal structure of LiTh4Se5.

Output
**Formation energy without anion corrections**: -1538 meV/atom
**Crystal system**: tetragonal

Unit cell a=5.8908 b=7.1979 c=7.1979 alpha=80.36 beta=65.85 gamma=65.85
Last column: nearest neighbours and their distance in Å.
Sites, in units of the cell vectors:
Se 0.4991 0.0000 0.0000  2 Li 2.79-3.10, 4 Th 2.99
Se 0.7205 0.1781 0.3772  1 Li 2.74, 5 Th 2.96-3.04
Se 0.2758 0.8219 0.6228  1 Li 2.74, 5 Th 2.96-3.04
Se 0.0977 0.6228 0.1781  1 Li 2.74, 5 Th 2.96-3.04
Se 0.8986 0.3772 0.8219  1 Li 2.74, 5 Th 2.96-3.04
Th 0.5904 0.5997 0.2162  6 Se 2.96-3.04
Th 0.8067 0.7838 0.5997  6 Se 2.96-3.04
Th 0.4063 0.4003 0.7838  6 Se 2.96-3.04
Th 0.1901 0.2162 0.4003  6 Se 2.96-3.04
Li 0.0250 0.0000 0.0000  5 Se 2.74-2.79

---

# 7
The following is a DFT calculation (PBE) of an optimized crystal structure of LiThSe2.

Output
**Formation energy without anion corrections**: -1430 meV/atom
**Crystal system**: trigonal

Unit cell a=4.0350 b=4.0350 c=7.5616 alpha=74.53 beta=74.53 gamma=60.00
Last column: nearest neighbours and their distance in Å.
Sites, in units of the cell vectors:
Se 0.2499 0.2499 0.2502  3 Th 2.96, 3 Li 3.03
Se 0.0881 0.0881 0.7357  3 Li 2.80, 3 Th 2.99
Li 0.4938 0.4938 0.5186  6 Se 2.80-3.03
Th 0.6682 0.6682 0.9955  6 Se 2.96-2.99

---

# 8
The following is a DFT calculation (PBE) of an optimized crystal structure of LiTh5Se6.

Output
**Formation energy without anion corrections**: -1538 meV/atom
**Crystal system**: monoclinic

Unit cell a=7.1674 b=7.2438 c=7.2230 alpha=59.90 beta=80.35 gamma=70.46
Last column: nearest neighbours and their distance in Å.
Sites, in units of the cell vectors:
Li 0.0000 0.0000 0.0000  6 Se 2.75-2.83
Th 0.5000 0.5000 0.0000  6 Se 2.96-3.06
Th 0.0000 0.3347 0.3307  6 Se 2.95-2.98
Th 0.5000 0.1758 0.6484  6 Se 2.95-3.06
Th 0.0000 0.6653 0.6693  6 Se 2.95-2.98
Th 0.5000 0.8242 0.3516  6 Se 2.95-3.06
Se 0.7674 0.3885 0.6876  1 Li 2.75, 5 Th 2.95-3.06
Se 0.2476 0.2327 0.0000  1 Li 2.83, 5 Th 2.98-3.06
Se 0.7524 0.7673 0.0000  1 Li 2.83, 5 Th 2.98-3.06
Se 0.2326 0.9239 0.6876  1 Li 2.75, 5 Th 2.95-3.06
Se 0.2326 0.6115 0.3124  1 Li 2.75, 5 Th 2.95-3.06
Se 0.7674 0.0761 0.3124  1 Li 2.75, 5 Th 2.95-3.06

---

# 9
The following is a DFT calculation (PBE) of an optimized crystal structure of Li5ThSe6.

Output
**Formation energy without anion corrections**: -1072 meV/atom
**Crystal system**: monoclinic

Unit cell a=6.5123 b=6.5196 c=7.5276 alpha=64.34 beta=77.18 gamma=59.18
Last column: nearest neighbours and their distance in Å.
Sites, in units of the cell vectors:
Th 0.0000 0.0000 0.0000  6 Se 2.88-2.95, 2 Li 3.22
Li 0.0000 0.6672 0.6655  6 Se 2.78-2.82
Li 0.5000 0.5000 0.0000  6 Se 2.71-2.76
Li 0.5000 0.8345 0.3309  6 Se 2.69-2.85
Li 0.5000 0.1655 0.6691  6 Se 2.69-2.85
Li 0.0000 0.3328 0.3345  6 Se 2.78-2.82
Se 0.7359 0.4378 0.6592  5 Li 2.69-2.85, 1 Th 2.88
Se 0.7359 0.0969 0.3408  5 Li 2.69-2.85, 1 Th 2.88
Se 0.2605 0.2609 0.0000  5 Li 2.71-2.78, 1 Th 2.95
Se 0.2641 0.9031 0.6592  5 Li 2.69-2.85, 1 Th 2.88
Se 0.2641 0.5622 0.3408  5 Li 2.69-2.85, 1 Th 2.88
Se 0.7395 0.7391 0.0000  5 Li 2.71-2.78, 1 Th 2.95

---

# 10
The following is a DFT calculation (PBE) of an optimized crystal structure of Li2ThSe3.

Output
**Formation energy without anion corrections**: -1460 meV/atom
**Crystal system**: monoclinic

Unit cell a=4.3228 b=7.5005 c=10.7263 alpha=92.24 beta=101.62 gamma=90.00
Last column: nearest neighbours and their distance in Å.
Sites, in units of the cell vectors:
Se 0.7604 0.7867 0.5208  3 Th 2.90-2.97
Se 0.4306 0.6765 0.8612  4 Li 2.52-2.62
Se 0.9090 0.1335 0.8180  4 Li 2.64-2.76
Se 0.5694 0.3235 0.1388  4 Li 2.52-2.62
Se 0.0910 0.8665 0.1820  4 Li 2.64-2.76
Se 0.2396 0.2133 0.4792  3 Th 2.90-2.97
Li 0.4452 0.3435 0.8904  4 Se 2.53-2.76
Li 0.9659 0.8222 0.9317  4 Se 2.52-2.67
Li 0.5548 0.6565 0.1096  4 Se 2.53-2.76
Li 0.0341 0.1778 0.0683  4 Se 2.52-2.67
Th 0.6628 0.0625 0.3256  6 Se 2.83-2.99
Th 0.3372 0.9375 0.6744  6 Se 2.83-2.99

---

# 11
The following is a DFT calculation (PBE) of an optimized crystal structure of LiTh3Tl3Se8.

Output
**Formation energy without anion corrections**: -1265 meV/atom
**Crystal system**: trigonal

Unit cell a=8.5527 b=8.5517 c=9.1859 alpha=117.74 beta=90.00 gamma=120.00
Last column: nearest neighbours and their distance in Å.
Sites, in units of the cell vectors:
Tl 0.5000 0.5000 0.0000  6 Se 3.31-3.41
Tl 0.0000 0.5000 0.0000  6 Se 3.31-3.41
Tl 0.0000 0.0000 0.0000  6 Se 3.31-3.41
Se 0.2365 0.9635 0.7000  2 Th 2.89, 1 Li 2.95
Se 0.2364 0.4728 0.6999  2 Th 2.90, 1 Li 2.95
Se 0.2618 0.5237 0.2855  3 Th 2.98, 3 Tl 3.31
Se 0.7269 0.9635 0.7000  2 Th 2.89, 1 Li 2.95
Se 0.7635 0.0365 0.3000  2 Th 2.89, 1 Li 2.95
Se 0.2731 0.0365 0.3000  2 Th 2.89, 1 Li 2.95
Se 0.7382 0.4763 0.7145  3 Th 2.98, 3 Tl 3.31
Se 0.7636 0.5272 0.3001  2 Th 2.90, 1 Li 2.95
Th 0.5000 0.5000 0.5000  6 Se 2.89-2.98
Th 0.0000 0.5000 0.5000  6 Se 2.89-2.98
Th 0.5000 0.0000 0.5000  6 Se 2.89-2.98
Li 0.0000 0.0000 0.5000  6 Se 2.95

---

# 12
The following is a DFT calculation (PBE) of an optimized crystal structure of Li2ThTl2Se4.

Output
**Formation energy without anion corrections**: -1145 meV/atom
**Crystal system**: monoclinic

Unit cell a=4.3349 b=7.8030 c=8.1233 alpha=110.29 beta=105.47 gamma=90.00
Last column: nearest neighbours and their distance in Å.
Sites, in units of the cell vectors:
Th 0.0000 0.0000 0.0000  6 Se 2.93
Tl 0.8587 0.4334 0.7174  7 Se 3.36-3.60, 1 Li 3.56
Tl 0.1413 0.5666 0.2826  7 Se 3.36-3.60, 1 Li 3.56
Li 0.3165 0.0100 0.6330  4 Se 2.57-2.61
Li 0.6835 0.9900 0.3670  4 Se 2.57-2.61
Se 0.4831 0.2379 0.9662  1 Li 2.57
Se 0.1997 0.1793 0.3995  3 Li 2.58-2.61
Se 0.8003 0.8207 0.6005  3 Li 2.58-2.61
Se 0.5169 0.7621 0.0338  1 Li 2.57

---

Number 1 is which compound?
LiThSe2